[1]
PmNpC PBE-GGA optimized geometry; polymorph energy (0 for the lowest one) = 0.00 eV/f.u.; space-group type = No. 156; energy of formation from the pure elements = 167 meV/atom; calculated density = 9892 kg/m3
1.0
6.401 0.000 0.000
0.000 3.454 0.000
0.000 -1.727 2.992
Np Pm C
1 1 1
Direct
0.114 0.000 0.000
0.569 0.667 0.333
0.317 0.333 0.667

[2]
PmNpC PBE-GGA optimized geometry; polymorph energy (0 for the lowest one) = 0.95 eV/f.u.; space-group type = No. 63; energy of formation from the pure elements = 485 meV/atom; calculated density = 10739 kg/m3
1.0
-4.152 -1.241 -1.644
1.665 -2.596 -2.246
0.255 -5.999 3.883
Np Pm C
2 2 2
Direct
0.500 0.000 0.000
0.000 0.000 0.000
0.250 0.327 0.346
0.750 0.673 0.654
0.750 0.855 0.291
0.250 0.145 0.709

[3]
Pm2NpTc2C4 PBE-GGA optimized geometry; space-group type = No. 12; energy of formation from the pure elements = 65 meV/atom; calculated density = 9454 kg/m3
1.0
3.451 0.000 0.000
-1.726 6.692 0.228
0.000 -2.113 5.792
Np Tc Pm C
1 2 2 4
Direct
0.000 0.000 0.000
0.321 0.643 0.998
0.679 0.357 0.002
0.134 0.268 0.534
0.866 0.732 0.466
0.227 0.455 0.220
0.534 0.067 0.762
0.773 0.545 0.780
0.466 0.933 0.238

[4]
Pr2NpC PBE-GGA optimized geometry; space-group type = No. 166; energy of formation from the pure elements = 467 meV/atom; calculated density = 8079 kg/m3
1.0
3.572 0.000 0.000
1.786 3.093 0.000
1.786 1.031 9.876
Np C Pr
1 1 2
Direct
0.000 0.000 0.000
0.500 0.500 0.500
0.117 0.117 0.648
0.883 0.883 0.352

[5]
PrNpC2 PBE-GGA optimized geometry; space-group type = No. 166; energy of formation from the pure elements = 96 meV/atom; calculated density = 10119 kg/m3
1.0
3.600 0.000 0.000
1.800 3.118 0.000
1.800 1.039 5.875
C Np Pr
2 1 1
Direct
0.772 0.772 0.683
0.228 0.228 0.317
0.500 0.500 0.500
0.000 0.000 0.000

[6]
PuNpC2 PBE-GGA optimized geometry; polymorph energy (0 for the lowest one) = 0.23 eV/f.u.; space-group type = No. 160; energy of formation from the pure elements = 190 meV/atom; calculated density = 13912 kg/m3
1.0
3.456 0.000 0.000
1.728 2.993 0.000
1.728 0.998 5.826
Pu C Np
1 2 1
Direct
0.666 0.666 0.003
0.083 0.083 0.752
0.250 0.250 0.251
0.502 0.502 0.493

[7]
PuNpC2 PBE-GGA optimized geometry; polymorph energy (0 for the lowest one) = 0.00 eV/f.u.; space-group type = No. 166; energy of formation from the pure elements = 131 meV/atom; calculated density = 13610 kg/m3
1.0
3.531 0.000 0.000
1.766 3.058 0.000
1.766 1.019 5.705
C Np Pu
2 1 1
Direct
0.744 0.744 0.769
0.256 0.256 0.231
0.000 0.000 0.000
0.500 0.500 0.500

[8]
Pu2NpUC4 PBE-GGA optimized geometry; space-group type = No. 10; energy of formation from the pure elements = 34 meV/atom; calculated density = 13554 kg/m3
1.0
-2.011 -2.283 1.832
-0.027 -3.751 -4.704
4.769 -3.899 0.375
Pu Np C U
2 1 4 1
Direct
0.000 0.000 0.000
0.500 0.000 0.500
0.500 0.500 0.000
0.500 0.281 0.737
0.500 0.719 0.263
0.000 0.275 0.244
0.000 0.725 0.756
0.000 0.500 0.500

[9]
NpRe2C PBE-GGA optimized geometry; space-group type = No. 63; energy of formation from the pure elements = 377 meV/atom; calculated density = 17398 kg/m3
1.0
-2.694 1.058 0.260
0.507 -1.473 -5.005
-2.721 -7.395 1.900
C Re Np
2 4 2
Direct
0.185 0.371 0.250
0.815 0.629 0.750
0.351 0.701 0.567
0.351 0.701 0.933
0.649 0.299 0.067
0.649 0.299 0.433
0.921 0.841 0.250
0.079 0.159 0.750

[10]
NpReC PBE-GGA optimized geometry; polymorph energy (0 for the lowest one) = 0.84 eV/f.u.; space-group type = No. 107; energy of formation from the pure elements = 494 meV/atom; calculated density = 16775 kg/m3
1.0
2.863 0.000 0.000
0.000 2.863 0.000
-1.432 -1.432 5.255
Np C Re
1 1 1
Direct
0.010 0.010 0.020
0.707 0.707 0.414
0.283 0.283 0.566

[11]
Np2Re2C3 PBE-GGA optimized geometry; space-group type = No. 12; energy of formation from the pure elements = -51 meV/atom; calculated density = 15210 kg/m3
1.0
-2.483 -1.852 0.557
1.935 -1.045 5.154
-2.376 5.678 -0.606
C Np Re
3 2 2
Direct
0.000 0.000 0.000
0.250 0.752 0.500
0.750 0.248 0.500
0.603 0.801 0.206
0.397 0.199 0.794
0.846 0.671 0.692
0.154 0.329 0.308

[12]
NpReC2 PBE-GGA optimized geometry; polymorph energy (0 for the lowest one) = 0.50 eV/f.u.; space-group type = No. 160; energy of formation from the pure elements = 262 meV/atom; calculated density = 15226 kg/m3
1.0
3.123 0.000 0.000
1.562 2.705 0.000
1.562 0.902 5.774
Re C Np
1 2 1
Direct
0.670 0.670 0.991
0.264 0.264 0.209
0.072 0.072 0.784
0.495 0.495 0.515